[1]
Here is crystalline AcYB2O6 at its relaxed geometry from Alexandria via LeMat-Bulk. Energies are from PBE.

Cell: 8.3369 9.8660 6.5736 Å, 90.00 109.02 90.00°
Space group C2/c (No. 15)
Inequivalent atoms, fractional coordinates:
1 Ac 0.0000 0.1518 0.2500
2 Y 0.0000 0.4084 0.7500
3 B 0.2449 0.1188 0.7273
4 O 0.0963 0.3856 0.1155
5 O 0.1624 0.2407 0.6696
6 O 0.1874 0.0023 0.6091

Total magnetization, μB per atom: 0.000
Formation energy without anion corrections, eV per atom: -3.0853
Total DFT energy (no corrections), eV/cell: -338.12

---

[2]
Here is crystalline AcZn2B2O6 at its relaxed geometry from Alexandria via LeMat-Bulk. Energies are from PBE.

Cell: 5.1358 5.1358 7.4578 Å, 90.00 90.00 120.00°
Space group P-3 (No. 147)
Inequivalent atoms, fractional coordinates:
1 Ac 0.0000 0.0000 0.0000
2 Zn 0.3333 0.6667 0.3225
3 B 0.3333 0.6667 0.7809
4 O 0.0508 0.6392 0.7888

Total magnetization, μB per atom: 0.021
Formation energy without anion corrections, eV per atom: -2.1608
Total DFT energy (no corrections), eV/cell: -73.53